Below is a relaxed structure of HfScP, with properties calculated at the PBE level.

Total moment in μB per atom: 0.000
Crystal system: tetragonal
Energy in eV/atom: -8.17

Unit cell a=3.9323 b=3.9323 c=7.2881 alpha=90.00 beta=90.00 gamma=90.00
Fractional positions:
1 P 0.2500 0.2500 0.2693
2 P 0.7500 0.7500 0.7307
3 Sc 0.2500 0.2500 0.6402
4 Sc 0.7500 0.7500 0.3598
5 Hf 0.7500 0.2500 0.0000
6 Hf 0.2500 0.7500 0.0000